1.
The following is a GGA-PBE calculation of a geometry-optimized SbMoPt3 structure, from Alexandria via LeMat-Bulk.

```
5
Lattice="4.9081 0.0000 0.0000 0.0000 4.9081 0.0000 0.0000 0.0000 4.9081" Properties=species:S:1:pos:R:3 pbc="T T T"
Sb 0.0000 0.0000 0.0000
Mo 2.4540 2.4540 2.4540
Pt 0.0000 2.4540 0.0000
Pt 0.0000 0.0000 2.4540
Pt 2.4540 0.0000 0.0000
```

Output
Its uncorrected energy is -27.2 eV for the cell shown. Its energy relative to the lowest polymorph listed for this composition is 247.3 meV/atom. The energy relative to the elements, uncorrected comes out at 1.180 eV/atom. The calculation puts the total magnetization at 3.91 μB/f.u. The calculation puts the calculated volume at 23.6 A^3/atom. As for the space group: Pm-3m.


2.
The following is a GGA-PBE calculation of a geometry-optimized ErTlGa2 structure, from Alexandria via LeMat-Bulk.

```
4
Lattice="4.9088 0.0000 0.0000 2.4544 4.2511 0.0000 2.4544 1.4170 6.4658" Properties=species:S:1:pos:R:3 pbc="T T T"
Tl 0.0000 0.0000 0.0000
Ga 2.4544 1.4170 3.6827
Ga 7.3632 4.2511 2.7831
Er 4.9088 2.8341 3.2329
```

Output
Its uncorrected energy is -12.2 eV for the cell shown. Its energy relative to the lowest polymorph listed for this composition is 542.8 meV/atom. The calculation puts the total magnetization at 0.00 μB/f.u. The calculation puts the calculated volume at 33.7 A^3/atom. The calculation puts the formation energy from the elements at 0.8 eV/f.u. As for the space group: R-3m.